No. 1
# KHfGa2Br8, optimized geometry, DFT PBE
# M_tot (μB/cell): 0.00
# ΔE_f (raw) (eV/atom): -1.06
# Crystal system: triclinic
# Energy (eV/atom): -3.5960
data_KHfGa2Br8
_space_group_name_H-M_alt 'P 1'
_space_group_IT_number 1
_cell_length_a 7.0490
_cell_length_b 6.6543
_cell_length_c 9.0152
_cell_angle_alpha 89.61
_cell_angle_beta 89.75
_cell_angle_gamma 87.97
loop_
_space_group_symop_operation_xyz
'x,y,z'
loop_
_atom_site_label
_atom_site_type_symbol
_atom_site_fract_x
_atom_site_fract_y
_atom_site_fract_z
_atom_site_occupancy
K1 K 0.0000 0.0000 0.5000 1
Hf1 Hf 0.0000 0.0000 0.0000 1
Ga1 Ga 0.4990 0.4970 0.7342 1
Ga2 Ga 0.5010 0.5030 0.2658 1
Br1 Br 0.1512 0.7623 0.2073 1
Br2 Br 0.7008 0.7797 0.0002 1
Br3 Br 0.8464 0.2353 0.2061 1
Br4 Br 0.8488 0.2377 0.7927 1
Br5 Br 0.2992 0.2203 0.9998 1
Br6 Br 0.1536 0.7647 0.7939 1
Br7 Br 0.6393 0.7072 0.4998 1
Br8 Br 0.3607 0.2928 0.5002 1


No. 2
# HfGaBr2N, optimized geometry, DFT PBE
# M_tot (μB/cell): 0.00
# ΔE_f (raw) (eV/atom): -0.52
# Crystal system: tetragonal
# Energy (eV/atom): -5.4504
data_HfGaBr2N
_space_group_name_H-M_alt 'P 1'
_space_group_IT_number 1
_cell_length_a 5.5398
_cell_length_b 4.0224
_cell_length_c 5.5398
_cell_angle_alpha 90.00
_cell_angle_beta 90.00
_cell_angle_gamma 90.00
loop_
_space_group_symop_operation_xyz
'x,y,z'
loop_
_atom_site_label
_atom_site_type_symbol
_atom_site_fract_x
_atom_site_fract_y
_atom_site_fract_z
_atom_site_occupancy
Hf1 Hf 0.0000 0.0000 0.0000 1
Ga1 Ga 0.5000 0.5000 0.5000 1
Br1 Br 0.0000 0.0000 0.5000 1
Br2 Br 0.5000 0.0000 0.0000 1
N1 N 0.0000 0.5000 0.0000 1


No. 3
# NaHfGaBr6, optimized geometry, DFT PBE
# M_tot (μB/cell): 0.00
# ΔE_f (raw) (eV/atom): -1.25
# Crystal system: trigonal
# Energy (eV/atom): -3.9550
data_NaHfGaBr6
_space_group_name_H-M_alt 'P 1'
_space_group_IT_number 1
_cell_length_a 7.3218
_cell_length_b 7.3218
_cell_length_c 13.1711
_cell_angle_alpha 90.00
_cell_angle_beta 90.00
_cell_angle_gamma 120.00
loop_
_space_group_symop_operation_xyz
'x,y,z'
loop_
_atom_site_label
_atom_site_type_symbol
_atom_site_fract_x
_atom_site_fract_y
_atom_site_fract_z
_atom_site_occupancy
Na1 Na 0.3333 0.6667 0.2500 1
Na2 Na 0.6667 0.3333 0.7500 1
Hf1 Hf 0.6667 0.3333 0.2500 1
Hf2 Hf 0.3333 0.6667 0.7500 1
Ga1 Ga 0.0000 0.0000 0.0000 1
Ga2 Ga 0.0000 0.0000 0.5000 1
Br1 Br 0.6589 0.6220 0.1340 1
Br2 Br 0.9631 0.3411 0.1340 1
Br3 Br 0.3411 0.9631 0.6340 1
Br4 Br 0.0369 0.6589 0.8660 1
Br5 Br 0.3780 0.3411 0.3660 1
Br6 Br 0.9631 0.6220 0.3660 1
Br7 Br 0.6220 0.9631 0.8660 1
Br8 Br 0.6589 0.0369 0.3660 1
Br9 Br 0.0369 0.3780 0.6340 1
Br10 Br 0.3780 0.0369 0.1340 1
Br11 Br 0.6220 0.6589 0.6340 1
Br12 Br 0.3411 0.3780 0.8660 1


No. 4
# Rb2HfGaBr, optimized geometry, DFT PBE
# M_tot (μB/cell): 2.71
# ΔE_f (raw) (eV/atom): 0.45
# Crystal system: tetragonal
# Energy (eV/atom): -2.8642
data_Rb2HfGaBr
_space_group_name_H-M_alt 'P 1'
_space_group_IT_number 1
_cell_length_a 6.5218
_cell_length_b 5.2328
_cell_length_c 6.5218
_cell_angle_alpha 90.00
_cell_angle_beta 90.00
_cell_angle_gamma 90.00
loop_
_space_group_symop_operation_xyz
'x,y,z'
loop_
_atom_site_label
_atom_site_type_symbol
_atom_site_fract_x
_atom_site_fract_y
_atom_site_fract_z
_atom_site_occupancy
Ga1 Ga 0.5000 0.5000 0.5000 1
Hf1 Hf 0.0000 0.5000 0.0000 1
Br1 Br 0.0000 0.0000 0.0000 1
Rb1 Rb 0.0000 0.0000 0.5000 1
Rb2 Rb 0.5000 0.0000 0.0000 1


No. 5
# RbHfGa2Br8, optimized geometry, DFT PBE
# M_tot (μB/cell): 0.00
# ΔE_f (raw) (eV/atom): -1.11
# Crystal system: triclinic
# Energy (eV/atom): -3.6354
data_RbHfGa2Br8
_space_group_name_H-M_alt 'P 1'
_space_group_IT_number 1
_cell_length_a 7.3326
_cell_length_b 7.4788
_cell_length_c 11.3565
_cell_angle_alpha 48.82
_cell_angle_beta 88.78
_cell_angle_gamma 88.17
loop_
_space_group_symop_operation_xyz
'x,y,z'
loop_
_atom_site_label
_atom_site_type_symbol
_atom_site_fract_x
_atom_site_fract_y
_atom_site_fract_z
_atom_site_occupancy
Rb1 Rb 0.0000 0.0000 0.5000 1
Hf1 Hf 0.0000 0.0000 0.0000 1
Ga1 Ga 0.5000 0.2635 0.7358 1
Ga2 Ga 0.5000 0.7365 0.2642 1
Br1 Br 0.1635 0.5871 0.2179 1
Br2 Br 0.7207 0.7915 0.0005 1
Br3 Br 0.8352 0.9825 0.2155 1
Br4 Br 0.8365 0.4129 0.7821 1
Br5 Br 0.2793 0.2085 0.9995 1
Br6 Br 0.1648 0.0175 0.7845 1
Br7 Br 0.3885 0.7234 0.5005 1
Br8 Br 0.6115 0.2766 0.4995 1


No. 6
# HfGaRuBr2, optimized geometry, DFT PBE
# M_tot (μB/cell): 1.12
# ΔE_f (raw) (eV/atom): 0.32
# Crystal system: tetragonal
# Energy (eV/atom): -4.8040
data_HfGaRuBr2
_space_group_name_H-M_alt 'P 1'
_space_group_IT_number 1
_cell_length_a 5.3609
_cell_length_b 5.1798
_cell_length_c 5.3609
_cell_angle_alpha 90.00
_cell_angle_beta 90.00
_cell_angle_gamma 90.00
loop_
_space_group_symop_operation_xyz
'x,y,z'
loop_
_atom_site_label
_atom_site_type_symbol
_atom_site_fract_x
_atom_site_fract_y
_atom_site_fract_z
_atom_site_occupancy
Ru1 Ru 0.0000 0.5000 0.0000 1
Hf1 Hf 0.0000 0.0000 0.0000 1
Ga1 Ga 0.5000 0.5000 0.5000 1
Br1 Br 0.0000 0.0000 0.5000 1
Br2 Br 0.5000 0.0000 0.0000 1


No. 7
# HfGaSeBr2, optimized geometry, DFT PBE
# M_tot (μB/cell): 0.00
# ΔE_f (raw) (eV/atom): -0.65
# Crystal system: tetragonal
# Energy (eV/atom): -4.6130
data_HfGaSeBr2
_space_group_name_H-M_alt 'P 1'
_space_group_IT_number 1
_cell_length_a 5.3145
_cell_length_b 5.3145
_cell_length_c 5.1871
_cell_angle_alpha 90.00
_cell_angle_beta 90.00
_cell_angle_gamma 90.00
loop_
_space_group_symop_operation_xyz
'x,y,z'
loop_
_atom_site_label
_atom_site_type_symbol
_atom_site_fract_x
_atom_site_fract_y
_atom_site_fract_z
_atom_site_occupancy
Ga1 Ga 0.5000 0.5000 0.5000 1
Hf1 Hf 0.0000 0.0000 0.0000 1
Se1 Se 0.0000 0.0000 0.5000 1
Br1 Br 0.0000 0.5000 0.0000 1
Br2 Br 0.5000 0.0000 0.0000 1


No. 8
# HfGaSeBr2, optimized geometry, DFT PBE
# M_tot (μB/cell): 1.55
# ΔE_f (raw) (eV/atom): 0.29
# Crystal system: tetragonal
# Energy (eV/atom): -3.6705
data_HfGaSeBr2
_space_group_name_H-M_alt 'P 1'
_space_group_IT_number 1
_cell_length_a 5.0487
_cell_length_b 5.0487
_cell_length_c 5.1061
_cell_angle_alpha 90.00
_cell_angle_beta 90.00
_cell_angle_gamma 90.00
loop_
_space_group_symop_operation_xyz
'x,y,z'
loop_
_atom_site_label
_atom_site_type_symbol
_atom_site_fract_x
_atom_site_fract_y
_atom_site_fract_z
_atom_site_occupancy
Ga1 Ga 0.0000 0.0000 0.0000 1
Hf1 Hf 0.5000 0.5000 0.5000 1
Se1 Se 0.0000 0.0000 0.5000 1
Br1 Br 0.0000 0.5000 0.0000 1
Br2 Br 0.5000 0.0000 0.0000 1


No. 9
# HfGaTc2Br, optimized geometry, DFT PBE
# M_tot (μB/cell): 2.58
# ΔE_f (raw) (eV/atom): 1.31
# Crystal system: tetragonal
# Energy (eV/atom): -5.7703
data_HfGaTc2Br
_space_group_name_H-M_alt 'P 1'
_space_group_IT_number 1
_cell_length_a 4.6638
_cell_length_b 5.0677
_cell_length_c 4.6638
_cell_angle_alpha 90.00
_cell_angle_beta 90.00
_cell_angle_gamma 90.00
loop_
_space_group_symop_operation_xyz
'x,y,z'
loop_
_atom_site_label
_atom_site_type_symbol
_atom_site_fract_x
_atom_site_fract_y
_atom_site_fract_z
_atom_site_occupancy
Ga1 Ga 0.0000 0.0000 0.0000 1
Hf1 Hf 0.0000 0.5000 0.0000 1
Tc1 Tc 0.0000 0.0000 0.5000 1
Tc2 Tc 0.5000 0.0000 0.0000 1
Br1 Br 0.5000 0.5000 0.5000 1


No. 10
# HfTlGa2Br8, optimized geometry, DFT PBE
# M_tot (μB/cell): 0.00
# ΔE_f (raw) (eV/atom): -0.91
# Crystal system: triclinic
# Energy (eV/atom): -3.5528
data_HfTlGa2Br8
_space_group_name_H-M_alt 'P 1'
_space_group_IT_number 1
_cell_length_a 7.0309
_cell_length_b 6.7914
_cell_length_c 9.1222
_cell_angle_alpha 83.02
_cell_angle_beta 86.23
_cell_angle_gamma 86.20
loop_
_space_group_symop_operation_xyz
'x,y,z'
loop_
_atom_site_label
_atom_site_type_symbol
_atom_site_fract_x
_atom_site_fract_y
_atom_site_fract_z
_atom_site_occupancy
Hf1 Hf 0.0000 0.0000 0.0000 1
Tl1 Tl 0.0000 0.0000 0.5000 1
Ga1 Ga 0.4827 0.4522 0.7321 1
Ga2 Ga 0.5173 0.5478 0.2679 1
Br1 Br 0.1348 0.7448 0.2179 1
Br2 Br 0.7080 0.7836 0.9960 1
Br3 Br 0.8148 0.2074 0.1953 1
Br4 Br 0.8652 0.2552 0.7821 1
Br5 Br 0.2920 0.2164 0.0040 1
Br6 Br 0.1852 0.7926 0.8047 1
Br7 Br 0.6390 0.7037 0.4986 1
Br8 Br 0.3610 0.2963 0.5014 1